Material: Na2CrNiF
Method: DFT, GGA+U
State: optimized geometry

Raw total energy, eV per cell: -13.31
Crystal system: tetragonal
Mass density, g/cm3: 2.25
Density of states at the Fermi level, states/eV/f.u.: 4.8

Cell: 5.8192 5.8192 3.8325 Å, 90.00 90.00 90.00°
Space group P4/mmm (No. 123)
One atom of each set of equivalent atoms:
Na 0.0000 0.5000 0.0000 [2 per cell]
Cr 0.0000 0.0000 0.0000 [1 per cell]
Ni 0.5000 0.5000 0.5000 [1 per cell]
F 0.0000 0.0000 0.5000 [1 per cell]